## TlRe2HgS (GGA-PBE)

Data for a relaxed TlRe2HgS crystal.

Summary:
**Volume**: 28.27 A^3/atom

a = 5.2302 Å, b = 5.2302 Å, c = 5.1678 Å
α = 90.00°, β = 90.00°, γ = 90.00°
Last column: nearest neighbours and their distance in Å.
Space group P4/mmm (No. 123)
Asymmetric unit:
Tl  0.0000  0.0000  0.0000 x1  8 Re 3.68, 4 S 3.70
Re  0.0000  0.5000  0.5000 x2  2 Hg 2.62
Hg  0.5000  0.5000  0.5000 x1  2 S 2.58, 4 Re 2.62
S  0.5000  0.5000  0.0000 x1  2 Hg 2.58



## Pm2FeSi4 (GGA-PBE)

Data for a relaxed Pm2FeSi4 crystal.

Summary:
**Volume**: 20.69 A^3/atom

a = 7.9636 Å, b = 7.9731 Å, c = 9.1250 Å
α = 90.00°, β = 90.00°, γ = 90.00°
Last column: nearest neighbours and their distance in Å.
Space group Fmmm (No. 69)
Asymmetric unit:
Pm  0.2500  0.2500  0.2500 x8  8 Si 3.04
Fe  0.0000  0.0000  0.0000 x4  4 Si 2.27
Si  0.0000  0.2151  0.5000 x8  1 Fe 2.27, 2 Si 2.42
Si  0.2147  0.0000  0.5000 x8  1 Fe 2.27, 2 Si 2.42



## K3PmAu2O6 (GGA-PBE)

Data for a relaxed K3PmAu2O6 crystal.

Summary:
**Volume**: 22.26 A^3/atom

a = 6.4828 Å, b = 6.4828 Å, c = 7.3393 Å
α = 90.00°, β = 90.00°, γ = 120.00°
Last column: nearest neighbours and their distance in Å.
Space group P-3m1 (No. 164)
Asymmetric unit:
K  0.0000  0.0000  0.0000 x1  6 O 2.73
K  0.3333  0.6667  0.7467 x2  6 O 3.25, 1 Au 3.40
Pm  0.0000  0.0000  0.5000 x1  6 O 2.34
Au  0.3333  0.6667  0.2836 x2  3 O 2.00
O  0.1550  0.3100  0.2866 x6  1 Au 2.00



## NdAlSb (GGA-PBE)

Data for a relaxed NdAlSb crystal.

Summary:
**Volume**: 29.05 A^3/atom

a = 6.3825 Å, b = 6.3825 Å, c = 14.8211 Å
α = 90.00°, β = 90.00°, γ = 120.00°
Last column: nearest neighbours and their distance in Å.
Space group P6_222 (No. 180)
Asymmetric unit:
Nd  0.0000  0.5000  0.3687 x6  4 Al 2.94-3.24, 2 Sb 3.23
Al  0.2252  0.6126  0.1667 x6  1 Al 2.49
Sb  0.0000  0.0000  0.1667 x3  4 Al 3.43, 4 Nd 3.74
Sb  0.0000  0.5000  0.6667 x3  4 Nd 3.23, 4 Al 3.31



Number 1: formation energy (no corrections) 2.35 eV/atom, total DFT energy (no corrections) -19.9 eV/cell. Number 2: formation energy (no corrections) -0.41 eV/atom, total DFT energy (no corrections) -170.2 eV/cell. Number 3: formation energy (no corrections) -1.09 eV/atom, total DFT energy (no corrections) -57.4 eV/cell. Number 4: formation energy (no corrections) -0.05 eV/atom, total DFT energy (no corrections) -76.6 eV/cell.